Below is NiO4 after structural relaxation, with properties calculated at the PBE with a Hubbard U level.

The electronic total energy comes out at -4.4870 eV per atom. As for the symmetry: C2/m (12). The calculation puts the density at 3.9 g/cm³.

abc: 5.738 3.309 5.737
angles: 90.00 106.73 90.00
Element x y z (fractional)
Ni  0.000  0.000  0.000
Ni  0.500  0.500  0.000
O  0.101  0.500  0.830
O  0.131  0.500  0.594
O  0.369  0.000  0.406
O  0.399  0.000  0.170
O  0.601  0.000  0.830
O  0.631  0.000  0.594
O  0.869  0.500  0.406
O  0.899  0.500  0.170